# Zn5Ag2Au PBE optimized geometry
# **Distance to the lowest polymorph of the same formula**: 0.61 eV/f.u.
# **Space-group type**: Ibam, No. 72
# **Fermi-level density of states**: 4.02 states/eV/cell
data_Zn5Ag2Au
_chemical_formula_sum 'Zn10 Ag4 Au2'
_space_group_name_H-M_alt 'P 1'
_space_group_IT_number 1
_cell_length_a 6.954
_cell_length_b 6.939
_cell_length_c 7.321
_cell_angle_alpha 118.29
_cell_angle_beta 118.36
_cell_angle_gamma 90.00
loop_
_space_group_symop_operation_xyz
'x,y,z'
loop_
_atom_site_label
_atom_site_type_symbol
_atom_site_fract_x
_atom_site_fract_y
_atom_site_fract_z
_atom_site_occupancy
Zn1 Zn 0.682 0.181 0.660 1
Zn2 Zn 0.318 0.819 0.340 1
Zn3 Zn 0.000 0.000 0.000 1
Zn4 Zn 0.182 0.978 0.660 1
Zn5 Zn 0.478 0.681 0.660 1
Zn6 Zn 0.818 0.022 0.340 1
Zn7 Zn 0.500 0.500 0.000 1
Zn8 Zn 0.522 0.319 0.340 1
Zn9 Zn 0.022 0.522 0.340 1
Zn10 Zn 0.978 0.478 0.660 1
Au1 Au 0.750 0.750 0.500 1
Au2 Au 0.250 0.250 0.500 1
Ag1 Ag 0.354 0.854 0.000 1
Ag2 Ag 0.146 0.354 0.000 1
Ag3 Ag 0.854 0.646 0.000 1
Ag4 Ag 0.646 0.146 0.000 1